1.
# Zn2TeIr (PBE, optimized geometry)
# raw total energy = -3.406 eV per atom
# raw formation energy = 231 meV per atom
# total moment = 0.00 μB/cell
data_Zn2TeIr
_chemical_formula_sum 'Zn4 Te2 Ir2'
_cell_length_a 4.212
_cell_length_b 4.212
_cell_length_c 7.807
_cell_angle_alpha 90.00
_cell_angle_beta 90.00
_cell_angle_gamma 90.00
_space_group_name_H-M_alt 'I -4 m 2'
_space_group_IT_number 119
_space_group_name_Hall 'I -4 -2'
loop_
_atom_site_label
_atom_site_type_symbol
_atom_site_fract_x
_atom_site_fract_y
_atom_site_fract_z
_atom_site_occupancy
Zn1 Zn 0.000 0.000 0.000 1
Zn2 Zn 0.000 0.500 0.250 1
Te1 Te 0.000 0.000 0.500 1
Ir1 Ir 0.000 0.500 0.750 1

2.
# PrLuZnPt (PBE, optimized geometry)
# raw total energy = -4.869 eV per atom
# energy of formation = -0.715 eV/atom
# total moment = 0.00 μB/cell
data_PrLuZnPt
_chemical_formula_sum 'Pr4 Lu4 Zn4 Pt4'
_cell_length_a 7.133
_cell_length_b 7.133
_cell_length_c 7.133
_cell_angle_alpha 90.00
_cell_angle_beta 90.00
_cell_angle_gamma 90.00
_space_group_name_H-M_alt 'F -4 3 m'
_space_group_IT_number 216
_space_group_name_Hall 'F -4 2 3'
loop_
_atom_site_label
_atom_site_type_symbol
_atom_site_fract_x
_atom_site_fract_y
_atom_site_fract_z
_atom_site_occupancy
Pr1 Pr 0.000 0.000 0.000 1
Lu1 Lu 0.000 0.000 0.500 1
Zn1 Zn 0.250 0.250 0.750 1
Pt1 Pt 0.250 0.250 0.250 1

3.
# AcPm2Pr3 (PBE, optimized geometry)
# raw total energy = -4.632 eV per atom
# energy of formation = 0.026 eV/atom
# offset from the most stable computed form = 0.000 eV per formula unit
# total moment = 0.00 μB/cell
data_AcPm2Pr3
_chemical_formula_sum 'Ac4 Pm8 Pr12'
_cell_length_a 10.543
_cell_length_b 7.503
_cell_length_c 12.403
_cell_angle_alpha 90.00
_cell_angle_beta 115.06
_cell_angle_gamma 90.00
_space_group_name_H-M_alt 'C 1 2/c 1'
_space_group_IT_number 15
loop_
_space_group_symop_operation_xyz
'x,y,z'
'-x,-y,-z'
'-x,y,-z+1/2'
'x,-y,z+1/2'
'x+1/2,y+1/2,z'
'-x+1/2,-y+1/2,-z'
'-x+1/2,y+1/2,-z+1/2'
'x+1/2,-y+1/2,z+1/2'
loop_
_atom_site_label
_atom_site_type_symbol
_atom_site_fract_x
_atom_site_fract_y
_atom_site_fract_z
_atom_site_occupancy
Ac1 Ac 0.000 0.125 0.250 1
Pm1 Pm 0.166 0.125 0.583 1
Pr1 Pr 0.000 0.375 0.750 1
Pr2 Pr 0.166 0.375 0.081 1

4.
# LiSb3S4 (PBE, optimized geometry)
# raw total energy = -4.167 eV per atom
# raw formation energy = -318 meV per atom
# total moment = 0.00 μB/cell
data_LiSb3S4
_chemical_formula_sum 'Li2 Sb6 S8'
_cell_length_a 10.702
_cell_length_b 6.690
_cell_length_c 5.833
_cell_angle_alpha 90.00
_cell_angle_beta 90.00
_cell_angle_gamma 90.00
_space_group_name_H-M_alt 'P m n 21'
_space_group_IT_number 31
loop_
_space_group_symop_operation_xyz
'x,y,z'
'-x+1/2,-y,z+1/2'
'-x,y,z'
'x+1/2,-y,z+1/2'
loop_
_atom_site_label
_atom_site_type_symbol
_atom_site_fract_x
_atom_site_fract_y
_atom_site_fract_z
_atom_site_occupancy
Li1 Li 0.000 0.236 0.000 1
Sb1 Sb 0.000 0.973 0.489 1
Sb2 Sb 0.245 0.277 0.500 1
S1 S 0.000 0.340 0.403 1
S2 S 0.000 0.860 0.084 1
S3 S 0.213 0.337 0.912 1